Density functional theory data (PBE) for LiCa2ZnH after structural relaxation.

Computed properties:
offset from the most stable computed form: 124 meV per atom

Unit cell a=5.0132 b=5.0132 c=4.1690 alpha=90.00 beta=90.00 gamma=90.00
Element x y z (fractional)
Li 0.0000 0.0000 0.0000
Ca 0.0000 0.5000 0.5000
Ca 0.5000 0.0000 0.5000
Zn 0.5000 0.5000 0.0000
H 0.5000 0.5000 0.5000

Density functional theory data (PBE) for Ca2LuH after structural relaxation.

Unit cell a=3.5505 b=3.5505 c=29.3114 alpha=90.00 beta=90.00 gamma=120.00
Element x y z (fractional)
Ca 0.0000 0.0000 0.1158
Ca 0.0000 0.0000 0.8842
Ca 0.3333 0.6667 0.5509
Ca 0.3333 0.6667 0.7824
Ca 0.6667 0.3333 0.2176
Ca 0.6667 0.3333 0.4491
Lu 0.0000 0.0000 0.0000
Lu 0.3333 0.6667 0.6667
Lu 0.6667 0.3333 0.3333
H 0.0000 0.0000 0.5000
H 0.3333 0.6667 0.1667
H 0.6667 0.3333 0.8333

Density functional theory data (PBE) for CaLu2H after structural relaxation.

Unit cell a=3.5066 b=3.5066 c=27.9535 alpha=90.00 beta=90.00 gamma=120.00
Element x y z (fractional)
Ca 0.0000 0.0000 0.0000
Ca 0.3333 0.6667 0.6667
Ca 0.6667 0.3333 0.3333
Lu 0.0000 0.0000 0.1202
Lu 0.0000 0.0000 0.8798
Lu 0.3333 0.6667 0.5464
Lu 0.3333 0.6667 0.7869
Lu 0.6667 0.3333 0.2131
Lu 0.6667 0.3333 0.4536
H 0.0000 0.0000 0.5000
H 0.3333 0.6667 0.1667
H 0.6667 0.3333 0.8333

Density functional theory data (PBE) for Ca12Mg3H5 after structural relaxation.

Unit cell a=14.2202 b=14.2202 c=14.2202 alpha=109.47 beta=109.47 gamma=109.47
Element x y z (fractional)
Ca 0.0100 0.2024 0.1104
Ca 0.0100 0.3076 0.8996
Ca 0.0920 0.7024 0.6924
Ca 0.0920 0.8896 0.3996
Ca 0.1004 0.6104 0.4080
Ca 0.1004 0.9900 0.6924
Ca 0.1104 0.0100 0.2024
Ca 0.1104 0.6004 0.9080
Ca 0.1924 0.2024 0.5920
Ca 0.1924 0.4900 0.6004
Ca 0.2024 0.1104 0.0100
Ca 0.2024 0.5920 0.1924
Ca 0.2976 0.3076 0.9080
Ca 0.2976 0.4900 0.3896
Ca 0.3076 0.8996 0.0100
Ca 0.3076 0.9080 0.2976
Ca 0.3896 0.2976 0.4900
Ca 0.3896 0.5920 0.8996
Ca 0.3996 0.0920 0.8896
Ca 0.3996 0.8076 0.5100
Ca 0.4080 0.1004 0.6104
Ca 0.4080 0.8076 0.7976
Ca 0.4900 0.3896 0.2976
Ca 0.4900 0.6004 0.1924
Ca 0.5100 0.3996 0.8076
Ca 0.5100 0.6104 0.7024
Ca 0.5920 0.1924 0.2024
Ca 0.5920 0.8996 0.3896
Ca 0.6004 0.1924 0.4900
Ca 0.6004 0.9080 0.1104
Ca 0.6104 0.4080 0.1004
Ca 0.6104 0.7024 0.5100
Ca 0.6924 0.0920 0.7024
Ca 0.6924 0.1004 0.9900
Ca 0.7024 0.5100 0.6104
Ca 0.7024 0.6924 0.0920
Ca 0.7976 0.4080 0.8076
Ca 0.7976 0.8896 0.9900
Ca 0.8076 0.5100 0.3996
Ca 0.8076 0.7976 0.4080
Ca 0.8896 0.3996 0.0920
Ca 0.8896 0.9900 0.7976
Ca 0.8996 0.0100 0.3076
Ca 0.8996 0.3896 0.5920
Ca 0.9080 0.1104 0.6004
Ca 0.9080 0.2976 0.3076
Ca 0.9900 0.6924 0.1004
Ca 0.9900 0.7976 0.8896
Mg 0.1250 0.2500 0.3750
Mg 0.1250 0.3750 0.7500
Mg 0.2500 0.3750 0.1250
Mg 0.2500 0.8750 0.6250
Mg 0.3750 0.1250 0.2500
Mg 0.3750 0.7500 0.1250
Mg 0.6250 0.2500 0.8750
Mg 0.6250 0.8750 0.7500
Mg 0.7500 0.1250 0.3750
Mg 0.7500 0.6250 0.8750
Mg 0.8750 0.6250 0.2500
Mg 0.8750 0.7500 0.6250
H 0.0000 0.0000 0.0000
H 0.0000 0.0000 0.5000
H 0.0000 0.5000 0.0000
H 0.0000 0.5000 0.5000
H 0.1250 0.7500 0.8750
H 0.1250 0.8750 0.2500
H 0.2500 0.1250 0.8750
H 0.2500 0.6250 0.3750
H 0.3750 0.2500 0.6250
H 0.3750 0.6250 0.7500
H 0.5000 0.0000 0.0000
H 0.5000 0.0000 0.5000
H 0.5000 0.5000 0.0000
H 0.5000 0.5000 0.5000
H 0.6250 0.3750 0.2500
H 0.6250 0.7500 0.3750
H 0.7500 0.3750 0.6250
H 0.7500 0.8750 0.1250
H 0.8750 0.1250 0.7500
H 0.8750 0.2500 0.1250

no.,V (Å³/f.u.),magnetization (μB/cell),DFT total energy (eV/atom)
1,104.77,0.000,-2.239
2,106.67,2.489,-2.857
3,99.23,1.736,-3.586
4,553.40,0.000,-2.427